Model one:
Computed, not measured: a relaxed Mg4Zn8Cu crystal at the GGA-PBE level of DFT.

SG: I4/m (87)
magnetic moment: 0.0 μB/f.u.

```
Mg4Zn8Cu
1.0
-3.468 -6.482 -4.454
5.935 4.488 4.303
-3.722 -2.627 7.289
Zn Mg Cu
8 4 1
Direct
0.796 0.677 0.472 Zn
0.204 0.323 0.528 Zn
0.677 0.204 0.881 Zn
0.323 0.796 0.119 Zn
0.987 0.371 0.358 Zn
0.013 0.629 0.642 Zn
0.371 0.013 0.384 Zn
0.629 0.987 0.616 Zn
0.682 0.450 0.133 Mg
0.318 0.550 0.867 Mg
0.450 0.318 0.768 Mg
0.550 0.682 0.232 Mg
0.000 0.000 0.000 Cu
```


Model two:
Computed, not measured: a relaxed Mg4Zn8Cu crystal at the GGA-PBE level of DFT.

SG: I4/mmm (139)
magnetic moment: 0.0 μB/f.u.

```
Mg4Zn8Cu
1.0
6.841 -0.201 0.000
-2.598 6.331 0.000
-2.121 -3.065 5.739
Zn Mg Cu
8 4 1
Direct
0.332 0.000 0.332 Zn
0.668 0.000 0.668 Zn
0.000 0.668 0.668 Zn
0.000 0.332 0.332 Zn
0.278 0.500 0.778 Zn
0.722 0.500 0.222 Zn
0.500 0.722 0.222 Zn
0.500 0.278 0.778 Zn
0.500 0.000 0.000 Mg
0.000 0.500 0.000 Mg
0.000 0.000 0.500 Mg
0.500 0.500 0.500 Mg
0.000 0.000 0.000 Cu
```


From most stable to least stable, the computed energies give model one, model two.


Model one:
Computed, not measured: a relaxed MgZn9Cu2 crystal at the GGA-PBE level of DFT.

SG: I4_1/amd (141)
magnetic moment: 0.0 μB/f.u.

```
MgZn9Cu2
1.0
6.110 0.000 2.813
3.055 7.432 1.407
-0.053 0.000 8.158
Mg Zn Cu
2 18 4
Direct
0.500 0.000 0.000 Mg
0.250 0.500 0.500 Mg
0.750 0.500 0.500 Zn
0.000 0.000 0.000 Zn
0.011 0.916 0.675 Zn
0.602 0.084 0.325 Zn
0.677 0.175 0.584 Zn
0.435 0.825 0.416 Zn
0.739 0.825 0.584 Zn
0.148 0.175 0.416 Zn
0.073 0.916 0.325 Zn
0.315 0.084 0.675 Zn
0.739 0.584 0.825 Zn
0.148 0.416 0.175 Zn
0.073 0.325 0.916 Zn
0.315 0.675 0.084 Zn
0.011 0.675 0.916 Zn
0.602 0.325 0.084 Zn
0.677 0.584 0.175 Zn
0.435 0.416 0.825 Zn
0.875 0.250 0.750 Cu
0.875 0.750 0.250 Cu
0.875 0.250 0.250 Cu
0.375 0.750 0.750 Cu
```


Model two:
Computed, not measured: a relaxed MgZn9Cu2 crystal at the GGA-PBE level of DFT.

SG: R-3m (166)
magnetic moment: 0.0 μB/f.u.

```
MgZn9Cu2
1.0
8.979 0.040 0.024
7.571 4.829 0.024
7.571 2.227 4.285
Zn Mg Cu
9 1 2
Direct
0.333 0.333 0.333 Zn
0.667 0.667 0.667 Zn
0.500 0.500 0.500 Zn
0.083 0.591 0.591 Zn
0.591 0.083 0.591 Zn
0.591 0.591 0.083 Zn
0.917 0.409 0.409 Zn
0.409 0.409 0.917 Zn
0.409 0.917 0.409 Zn
0.000 0.000 0.000 Mg
0.144 0.143 0.143 Cu
0.856 0.857 0.857 Cu
```


From most stable to least stable, the computed energies give model one, model two.


Model one:
Computed, not measured: a relaxed Mg3Zn3Cu crystal at the GGA-PBE level of DFT.

SG: P6_3/m (176)
magnetic moment: 0.0 μB/f.u.

```
Mg3Zn3Cu
1.0
-3.394 7.014 1.682
-1.475 -6.345 4.594
3.410 1.042 2.534
Zn Mg Cu
6 6 2
Direct
0.109 0.553 0.250 Zn
0.447 0.555 0.250 Zn
0.445 0.891 0.250 Zn
0.891 0.447 0.750 Zn
0.553 0.445 0.750 Zn
0.555 0.109 0.750 Zn
0.288 0.145 0.250 Mg
0.855 0.143 0.250 Mg
0.857 0.712 0.250 Mg
0.712 0.855 0.750 Mg
0.145 0.857 0.750 Mg
0.143 0.288 0.750 Mg
0.667 0.333 0.250 Cu
0.333 0.667 0.750 Cu
```


Model two:
Computed, not measured: a relaxed Mg3Zn3Cu crystal at the GGA-PBE level of DFT.

SG: P6_3/m (176)
magnetic moment: 0.0 μB/f.u.

```
Mg3Zn3Cu
1.0
-1.787 3.102 -6.808
-5.568 -2.626 4.611
-0.319 4.131 1.966
Cu Mg Zn
2 6 6
Direct
0.667 0.333 0.250 Cu
0.333 0.667 0.750 Cu
0.096 0.463 0.250 Mg
0.537 0.633 0.250 Mg
0.367 0.904 0.250 Mg
0.904 0.537 0.750 Mg
0.463 0.367 0.750 Mg
0.633 0.096 0.750 Mg
0.233 0.176 0.250 Zn
0.824 0.056 0.250 Zn
0.944 0.767 0.250 Zn
0.767 0.824 0.750 Zn
0.176 0.944 0.750 Zn
0.056 0.233 0.750 Zn
```


From most stable to least stable, the computed energies give model two, model one.